No. 1
FeAgAu2 | PBE | optimized geometry

Cell: 4.8923 4.8923 5.0539 Å, 100.60 100.60 34.45°
With the nearest neighbours (Å) after each atom.
Fractional coordinates of all 4 atoms:
1 Fe 0.0000 0.0000 0.0000  6 Au 2.75-2.91, 2 Fe 2.90, 4 Ag 2.91
2 Ag 0.5000 0.5000 0.5000  6 Au 2.82-2.91, 2 Ag 2.90, 4 Fe 2.91
3 Au 0.2590 0.2590 0.7606  3 Fe 2.75-2.91, 3 Ag 2.82-2.91, 6 Au 2.85-2.98
4 Au 0.7410 0.7410 0.2394  3 Fe 2.75-2.91, 3 Ag 2.82-2.91, 6 Au 2.85-2.98

Summary:
electronic total energy: -17.1 eV/cell
D(E_F): 0.75 states/eV per atom
size of the total moment: 3.01 μB per formula unit
formation enthalpy at 0 K: 181 meV/atom
energy above the most stable polymorph in this dataset: 0.118 eV per atom


No. 2
FeAgAu2 | PBE | optimized geometry

Cell: 5.6451 5.6451 5.6451 Å, 150.68 129.28 59.67°
With the nearest neighbours (Å) after each atom.
Fractional coordinates of all 4 atoms:
1 Fe 0.0000 0.0000 0.0000  6 Au 2.67-2.81, 2 Ag 2.77, 2 Fe 2.86
2 Ag 0.2424 0.7424 0.5000  2 Fe 2.77, 6 Au 2.82-2.97, 2 Ag 2.86
3 Au 0.5077 0.5077 0.0000  4 Fe 2.81, 4 Au 2.86-2.94, 2 Ag 2.97
4 Au 0.7697 0.2697 0.5000  2 Fe 2.67, 4 Ag 2.82, 4 Au 2.86-2.94

Summary:
electronic total energy: -17.1 eV/cell
D(E_F): 0.78 states/eV per atom
size of the total moment: 3.04 μB per formula unit
formation enthalpy at 0 K: 185 meV/atom
energy above the most stable polymorph in this dataset: 0.122 eV per atom


No. 3
FeAgAu2 | PBE | optimized geometry

Cell: 9.4503 9.4503 9.4503 Å, 17.61 17.61 17.61°
With the nearest neighbours (Å) after each atom.
Fractional coordinates of all 4 atoms:
1 Fe 0.0000 0.0000 0.0000  3 Au 2.72, 3 Ag 2.77, 6 Fe 2.89
2 Ag 0.7458 0.7458 0.7458  3 Fe 2.77, 6 Ag 2.89, 3 Au 2.97
3 Au 0.2566 0.2566 0.2566  3 Fe 2.72, 9 Au 2.89-3.01
4 Au 0.5003 0.5003 0.5003  9 Au 2.89-3.01, 3 Ag 2.97

Summary:
electronic total energy: -17.1 eV/cell
D(E_F): 0.80 states/eV per atom
size of the total moment: 3.10 μB per formula unit
formation enthalpy at 0 K: 191 meV/atom
energy above the most stable polymorph in this dataset: 0.129 eV per atom


No. 4
FeAgAu2 | PBE | optimized geometry

Cell: 4.9714 4.9714 4.9714 Å, 131.78 131.78 70.58°
With the nearest neighbours (Å) after each atom.
Fractional coordinates of all 4 atoms:
1 Fe 0.0000 0.0000 0.0000  4 Ag 2.87, 8 Au 2.87
2 Ag 0.2500 0.7500 0.5000  4 Fe 2.87, 8 Au 2.87
3 Au 0.5000 0.5000 0.0000  4 Au 2.87, 4 Ag 2.87, 4 Fe 2.87
4 Au 0.7500 0.2500 0.5000  4 Fe 2.87, 4 Au 2.87, 4 Ag 2.87

Summary:
electronic total energy: -17.2 eV/cell
D(E_F): 0.81 states/eV per atom
size of the total moment: 3.21 μB per formula unit
formation enthalpy at 0 K: 169 meV/atom
energy above the most stable polymorph in this dataset: 0.106 eV per atom


No. 5
FeAgAu | PBE | optimized geometry

Cell: 4.7162 2.8520 7.3677 Å, 90.00 102.13 90.00°
With the nearest neighbours (Å) after each atom.
Fractional coordinates of all 6 atoms:
1 Fe 0.1171 0.2500 0.1224  2 Fe 2.38
2 Fe 0.8829 0.7500 0.8776  2 Fe 2.38
3 Ag 0.2342 0.7500 0.4502  2 Fe 2.76, 6 Ag 2.84-2.85, 4 Au 2.98-3.07
4 Ag 0.7658 0.2500 0.5498  2 Fe 2.76, 6 Ag 2.84-2.85, 4 Au 2.98-3.07
5 Au 0.3621 0.2500 0.8140  5 Fe 2.76-2.79, 2 Au 2.85, 4 Ag 2.98-3.07
6 Au 0.6379 0.7500 0.1860  5 Fe 2.76-2.79, 2 Au 2.85, 4 Ag 2.98-3.07

Summary:
electronic total energy: -28.2 eV/cell
D(E_F): 0.58 states/eV per atom
size of the total moment: 2.90 μB per formula unit
formation enthalpy at 0 K: 163 meV/atom
energy above the most stable polymorph in this dataset: 0.000 eV per atom


No. 6
FeAg2Au | PBE | optimized geometry

Cell: 5.0550 5.0550 2.8148 Å, 90.00 90.00 111.11°
With the nearest neighbours (Å) after each atom.
Fractional coordinates of all 4 atoms:
1 Fe 0.0000 0.0000 0.0000  2 Fe 2.81, 2 Au 2.86, 8 Ag 2.89
2 Ag 0.0000 0.5000 0.5000  4 Ag 2.81-2.86, 4 Fe 2.89, 4 Au 2.89
3 Ag 0.5000 0.0000 0.5000  4 Ag 2.81-2.86, 4 Fe 2.89, 4 Au 2.89
4 Au 0.5000 0.5000 0.0000  2 Au 2.81, 2 Fe 2.86, 8 Ag 2.89

Summary:
electronic total energy: -16.3 eV/cell
D(E_F): 1.10 states/eV per atom
size of the total moment: 3.08 μB per formula unit
formation enthalpy at 0 K: 279 meV/atom
energy above the most stable polymorph in this dataset: 0.125 eV per atom


No. 7
FeAgAu2 | PBE | optimized geometry

Cell: 9.2082 9.2082 9.2082 Å, 18.32 18.32 18.32°
With the nearest neighbours (Å) after each atom.
Fractional coordinates of all 4 atoms:
1 Fe 0.0000 0.0000 0.0000  6 Au 2.71, 6 Fe 2.93
2 Ag 0.5000 0.5000 0.5000  6 Ag 2.93, 6 Au 2.94
3 Au 0.2554 0.2554 0.2554  3 Fe 2.71, 6 Au 2.93, 3 Ag 2.94
4 Au 0.7446 0.7446 0.7446  3 Fe 2.71, 6 Au 2.93, 3 Ag 2.94

Summary:
electronic total energy: -17.3 eV/cell
D(E_F): 0.83 states/eV per atom
size of the total moment: 3.07 μB per formula unit
formation enthalpy at 0 K: 145 meV/atom
energy above the most stable polymorph in this dataset: 0.082 eV per atom


No. 8
FeAgAu2 | PBE | optimized geometry

Cell: 4.5648 4.5648 4.5648 Å, 60.00 60.00 60.00°
With the nearest neighbours (Å) after each atom.
Fractional coordinates of all 4 atoms:
1 Fe 0.0000 0.0000 0.0000  8 Au 2.80
2 Ag 0.5000 0.5000 0.5000  8 Au 2.80
3 Au 0.2500 0.2500 0.2500  4 Fe 2.80, 4 Ag 2.80
4 Au 0.7500 0.7500 0.7500  4 Fe 2.80, 4 Ag 2.80

Summary:
electronic total energy: -17.2 eV/cell
D(E_F): 0.71 states/eV per atom
size of the total moment: 3.08 μB per formula unit
formation enthalpy at 0 K: 169 meV/atom
energy above the most stable polymorph in this dataset: 0.106 eV per atom


No. 9
FeAg2Au2 | PBE | optimized geometry

Cell: 6.7290 6.7290 4.1273 Å, 90.00 90.00 90.00°
With the nearest neighbours (Å) after each atom.
Fractional coordinates of all 10 atoms:
1 Fe 0.0000 0.0000 0.0000  4 Au 2.58
2 Fe 0.5000 0.5000 0.0000  4 Au 2.58
3 Ag 0.1606 0.3394 0.5000  6 Au 2.78-2.91, 1 Ag 3.06
4 Ag 0.3394 0.8394 0.5000  6 Au 2.78-2.91, 1 Ag 3.06
5 Ag 0.6606 0.1606 0.5000  6 Au 2.78-2.91, 1 Ag 3.06
6 Ag 0.8394 0.6606 0.5000  6 Au 2.78-2.91, 1 Ag 3.06
7 Au 0.1442 0.6442 0.0000  2 Fe 2.58, 1 Au 2.74, 2 Ag 2.78
8 Au 0.3558 0.1442 0.0000  2 Fe 2.58, 1 Au 2.74, 2 Ag 2.78
9 Au 0.6442 0.8558 0.0000  2 Fe 2.58, 1 Au 2.74, 2 Ag 2.78
10 Au 0.8558 0.3558 0.0000  2 Fe 2.58, 1 Au 2.74, 2 Ag 2.78

Summary:
electronic total energy: -38.5 eV/cell
D(E_F): 0.69 states/eV per atom
size of the total moment: 3.06 μB per formula unit
formation enthalpy at 0 K: 295 meV/atom


No. 10
FeAg2Au | PBE | optimized geometry

Cell: 5.0388 5.0388 5.0388 Å, 133.28 133.28 68.22°
With the nearest neighbours (Å) after each atom.
Fractional coordinates of all 4 atoms:
1 Fe 0.0000 0.0000 0.0000  4 Au 2.83, 8 Ag 2.89
2 Ag 0.2500 0.7500 0.5000  4 Ag 2.83, 4 Au 2.89, 4 Fe 2.89
3 Ag 0.7500 0.2500 0.5000  4 Ag 2.83, 4 Au 2.89, 4 Fe 2.89
4 Au 0.5000 0.5000 0.0000  4 Fe 2.83, 8 Ag 2.89

Summary:
electronic total energy: -16.5 eV/cell
D(E_F): 0.95 states/eV per atom
size of the total moment: 3.13 μB per formula unit
formation enthalpy at 0 K: 240 meV/atom
energy above the most stable polymorph in this dataset: 0.086 eV per atom


No. 11
FeAgAu2 | PBE | optimized geometry

Cell: 4.8149 4.8149 4.8149 Å, 128.15 128.15 76.38°
With the nearest neighbours (Å) after each atom.
Fractional coordinates of all 4 atoms:
1 Fe 0.0000 0.0000 0.0000  8 Au 2.83, 4 Ag 2.98
2 Ag 0.5000 0.5000 0.0000  8 Au 2.83, 4 Fe 2.98
3 Au 0.2500 0.7500 0.5000  4 Ag 2.83, 4 Fe 2.83, 4 Au 2.98
4 Au 0.7500 0.2500 0.5000  4 Ag 2.83, 4 Fe 2.83, 4 Au 2.98

Summary:
electronic total energy: -17.2 eV/cell
D(E_F): 0.85 states/eV per atom
size of the total moment: 3.18 μB per formula unit
formation enthalpy at 0 K: 160 meV/atom
energy above the most stable polymorph in this dataset: 0.097 eV per atom


No. 12
FeAgAu | PBE | optimized geometry

Cell: 6.4159 6.4159 6.4159 Å, 154.61 154.61 36.21°
With the nearest neighbours (Å) after each atom.
Fractional coordinates of all 3 atoms:
1 Fe 0.0000 0.0000 0.0000  4 Au 2.75, 4 Ag 2.79, 4 Fe 2.82
2 Ag 0.6604 0.6604 0.0000  4 Fe 2.79, 4 Ag 2.82, 4 Au 3.00
3 Au 0.3447 0.3447 0.0000  4 Fe 2.75, 4 Au 2.82, 4 Ag 3.00

Summary:
electronic total energy: -14.0 eV/cell
D(E_F): 0.58 states/eV per atom
size of the total moment: 3.02 μB per formula unit
formation enthalpy at 0 K: 183 meV/atom
energy above the most stable polymorph in this dataset: 0.021 eV per atom


No. 13
FeAgAu2 | PBE | optimized geometry

Cell: 4.5669 4.5669 4.5669 Å, 60.00 60.00 60.00°
With the nearest neighbours (Å) after each atom.
Fractional coordinates of all 4 atoms:
1 Fe 0.0000 0.0000 0.0000  4 Ag 2.80, 4 Au 2.80
2 Ag 0.7500 0.7500 0.7500  4 Fe 2.80, 4 Au 2.80
3 Au 0.2500 0.2500 0.2500  4 Fe 2.80, 4 Au 2.80
4 Au 0.5000 0.5000 0.5000  4 Ag 2.80, 4 Au 2.80

Summary:
electronic total energy: -17.0 eV/cell
D(E_F): 0.83 states/eV per atom
size of the total moment: 3.08 μB per formula unit
formation enthalpy at 0 K: 213 meV/atom
energy above the most stable polymorph in this dataset: 0.150 eV per atom


No. 14
FeAg2Au | PBE | optimized geometry

Cell: 5.5682 5.5682 5.5682 Å, 149.73 128.45 60.95°
With the nearest neighbours (Å) after each atom.
Fractional coordinates of all 4 atoms:
1 Fe 0.0000 0.0000 0.0000  2 Au 2.65, 6 Ag 2.74-2.82, 2 Fe 2.91
2 Ag 0.2418 0.7418 0.5000  2 Fe 2.74, 4 Au 2.84, 4 Ag 2.91-2.93
3 Ag 0.5068 0.5068 0.0000  4 Fe 2.82, 2 Au 2.91, 4 Ag 2.91-2.93
4 Au 0.7690 0.2690 0.5000  2 Fe 2.65, 6 Ag 2.84-2.91, 2 Au 2.91

Summary:
electronic total energy: -16.4 eV/cell
D(E_F): 0.88 states/eV per atom
size of the total moment: 3.01 μB per formula unit
formation enthalpy at 0 K: 265 meV/atom
energy above the most stable polymorph in this dataset: 0.111 eV per atom


No. 15
FeAgAu | PBE | optimized geometry

Cell: 2.8565 2.8565 6.9183 Å, 90.00 90.00 120.00°
With the nearest neighbours (Å) after each atom.
Fractional coordinates of all 3 atoms:
1 Fe 0.0000 0.0000 0.0000  3 Au 2.74, 3 Ag 2.78, 6 Fe 2.86
2 Ag 0.3333 0.6667 0.3233  3 Fe 2.78, 6 Ag 2.86, 3 Au 2.99
3 Au 0.6667 0.3333 0.6842  3 Fe 2.74, 6 Au 2.86, 3 Ag 2.99

Summary:
electronic total energy: -13.9 eV/cell
D(E_F): 0.85 states/eV per atom
size of the total moment: 2.99 μB per formula unit
formation enthalpy at 0 K: 231 meV/atom
energy above the most stable polymorph in this dataset: 0.069 eV per atom